Entry 1:
4
Lattice="-4.9015 -1.0805 2.0486 -0.1755 -0.5406 5.3913 2.0229 3.6587 -3.4511" Properties=species:S:1:pos:R:3 comment="SrIr2Au PBE optimized geometry" spacegroup=I4/mmm de_polymorph_ev_per_fu=1.19 formation_enthalpy_0k_ev_per_fu=1.73 pbc="T T T"
Ir 0.0000 0.0000 0.0000
Ir -2.5385 -0.8106 3.7199
Sr -0.3455 1.1538 2.8300
Au -2.7085 0.8838 1.1587

---

Entry 2:
4
Lattice="-2.0237 1.3180 -4.5742 -0.9812 -4.9669 1.0593 -2.5213 0.7842 1.3414" Properties=species:S:1:pos:R:3 comment="SrIr2Au PBE optimized geometry" spacegroup=Cmmm de_polymorph_ev_per_fu=1.12 formation_enthalpy_0k_ev_per_fu=1.66 pbc="T T T"
Ir -1.5025 -1.8245 -1.7574
Ir 0.0000 0.0000 0.0000
Au -1.7513 -2.0914 1.2004
Sr -2.2725 1.0511 -1.6164

---

Entry 3:
3
Lattice="-0.1903 4.2732 -1.2304 -3.4113 -1.8398 2.1884 1.7877 1.1636 3.7650" Properties=species:S:1:pos:R:3 comment="SrIrAu PBE optimized geometry" spacegroup=P-6m2 de_polymorph_ev_per_fu=0.00 formation_enthalpy_0k_ev_per_fu=-0.63 pbc="T T T"
Au 0.2980 0.1940 0.6276
Sr -1.1458 0.9736 3.5588
Ir -0.9660 2.4295 0.5367

---

Entry 4:
4
Lattice="-2.5555 2.7484 -2.2404 -2.6465 0.1416 3.1923 2.0799 3.2231 1.5813" Properties=species:S:1:pos:R:3 comment="SrIr2Au PBE optimized geometry" spacegroup=P4/mmm de_polymorph_ev_per_fu=0.74 formation_enthalpy_0k_ev_per_fu=1.28 pbc="T T T"
Sr -2.6010 1.4450 0.4759
Ir -0.2833 1.6823 2.3868
Ir 0.0000 0.0000 0.0000
Au -0.2378 2.9857 -0.3296

---

Entry 5:
10
Lattice="-2.8143 6.4654 0.1141 -0.2325 -0.2255 7.0449 4.3203 1.8770 0.2027" Properties=species:S:1:pos:R:3 comment="Sr2Ir2Au PBE optimized geometry" spacegroup=P4/mbm formation_enthalpy_0k_ev_per_fu=-0.94 pbc="T T T"
Ir -1.7844 4.0053 0.9435
Ir -2.6109 5.5241 4.4947
Ir -1.2624 2.2345 6.2155
Ir -0.4359 0.7157 2.6642
Au -1.5234 3.1199 3.5795
Au 0.0000 0.0000 0.0000
Sr -0.2258 6.1757 2.4581
Sr 0.0590 5.1418 5.9643
Sr 1.2145 2.9751 1.3974
Sr 1.4993 1.9412 4.9035

---

Entry 6:
14
Lattice="0.8663 5.8423 -5.3887 -3.5711 -6.2586 -3.4638 -8.4060 1.9008 7.3282" Properties=species:S:1:pos:R:3 comment="Sr5IrAu PBE optimized geometry" spacegroup=C2/c formation_enthalpy_0k_ev_per_fu=-2.09 pbc="T T T"
Au -3.0823 1.7515 -3.4338
Au -8.0286 -0.2670 1.9095
Sr -4.6434 4.5933 -1.7298
Sr -1.9427 0.5572 -6.1986
Sr -6.4674 -3.1088 0.2055
Sr -9.1681 0.9273 4.6744
Sr -2.1474 1.8954 -0.3743
Sr -8.9634 -0.4109 -1.1500
Sr -1.0657 4.0671 -4.0521
Sr -5.0393 -0.5550 -2.6206
Sr -10.0452 -2.5826 2.5278
Sr -6.0716 2.0395 1.0963
Ir 0.0000 0.0000 0.0000
Ir -3.7699 3.8716 0.9698

---

Entry 7:
11
Lattice="5.4104 0.0000 0.0000 0.0000 7.5507 0.2638 -2.7052 -2.9260 9.7229" Properties=species:S:1:pos:R:3 comment="Sr8IrAu2 PBE optimized geometry" spacegroup=C2/m de_polymorph_ev_per_fu=0.51 formation_enthalpy_0k_ev_per_fu=-3.23 pbc="T T T"
Au 2.7052 0.2607 6.0791
Au 0.0000 4.3640 3.9075
Sr 2.7052 3.4300 5.7307
Sr 2.7052 6.3435 3.3378
Sr 0.0000 5.9330 0.9160
Sr 0.0000 2.0526 8.2022
Sr 0.0000 1.1947 4.2560
Sr 2.7052 -1.3083 9.0707
Sr 2.7052 2.5721 1.7845
Sr 0.0000 -1.7188 6.6488
Ir 2.7052 0.0000 0.0000

---

Entry 8:
4
Lattice="-3.0948 0.9203 4.0562 -3.9383 -1.6431 2.9440 2.7498 -2.6140 3.9391" Properties=species:S:1:pos:R:3 comment="SrIr2Au PBE optimized geometry" spacegroup=C2/m de_polymorph_ev_per_fu=0.48 formation_enthalpy_0k_ev_per_fu=1.02 pbc="T T T"
Ir -2.3679 -1.5291 5.3201
Ir -6.8069 -0.8622 7.1498
Au -1.0708 -0.8342 2.7348
Sr -3.2125 -2.5026 8.2045

---

Entry 9:
11
Lattice="7.4350 0.0198 0.0428 -0.2140 7.8629 3.1373 -0.2257 0.8591 8.4217" Properties=species:S:1:pos:R:3 comment="Sr8IrAu2 PBE optimized geometry" spacegroup=C2/m de_polymorph_ev_per_fu=0.00 formation_enthalpy_0k_ev_per_fu=-3.73 pbc="T T T"
Au 7.3166 2.2641 3.0171
Au -0.3213 6.4777 8.5847
Sr 4.6624 7.6806 10.1900
Sr 5.9468 3.5746 8.5399
Sr 1.0485 5.1672 3.0619
Sr 1.0424 1.5238 5.8109
Sr 4.7352 3.2690 4.3432
Sr 2.2602 5.4728 7.2586
Sr 2.3329 1.0613 1.4118
Sr 5.9530 7.2181 5.7909
Ir 0.0000 0.0000 0.0000

---

Entry 10:
4
Lattice="3.4393 0.0000 0.0000 0.0000 3.4393 0.0000 0.0000 0.0000 7.1801" Properties=species:S:1:pos:R:3 comment="SrIr2Au PBE optimized geometry" spacegroup=P4mm de_polymorph_ev_per_fu=0.00 formation_enthalpy_0k_ev_per_fu=0.54 pbc="T T T"
Ir 0.0000 0.0000 0.3908
Ir 1.7197 1.7197 1.2012
Au 1.7197 1.7197 5.6184
Sr 0.0000 0.0000 3.5598

---

Entry 11:
4
Lattice="5.1186 -0.0250 0.0006 0.4411 5.0996 -0.0006 -2.3380 -3.0214 3.4067" Properties=species:S:1:pos:R:3 comment="SrIr2Au PBE optimized geometry" spacegroup=Imm2 de_polymorph_ev_per_fu=0.51 formation_enthalpy_0k_ev_per_fu=1.05 pbc="T T T"
Ir 3.2044 0.1326 1.7037
Ir 5.2969 4.8348 0.0000
Sr 2.8141 2.5686 0.0000
Au 0.2457 2.1292 1.7031

---

Entry 12:
4
Lattice="3.3056 -1.5368 -3.0683 2.9379 -3.5407 1.2389 -0.4452 -4.2866 -2.0323" Properties=species:S:1:pos:R:3 comment="SrIr2Au PBE optimized geometry" spacegroup=Fm-3m de_polymorph_ev_per_fu=1.90 formation_enthalpy_0k_ev_per_fu=2.43 pbc="T T T"
Au 2.8991 -4.6820 -1.9308
Sr 0.0000 0.0000 0.0000
Ir 4.3487 -7.0231 -2.8963
Ir 1.4496 -2.3410 -0.9654